Entry 1:
A plane-wave DFT calculation with PBE was carried out for a geometry-optimized SrGa2IrPd structure.

```
SrGa2IrPd
1.0
4.400 0.000 0.000
0.000 4.400 0.000
0.000 0.000 10.337
Sr Ga Ir Pd
2 4 2 2
direct
0.250 0.250 0.237
0.750 0.750 0.763
0.250 0.250 0.881
0.250 0.750 0.500
0.750 0.250 0.500
0.750 0.750 0.119
0.250 0.750 0.000
0.750 0.250 0.000
0.250 0.250 0.629
0.750 0.750 0.371
```

Properties
Crystal system: tetragonal
E above lowest polymorph (meV/atom): 14
Space-group type: P4/nmm (129)

=====

Entry 2:
A plane-wave DFT calculation with PBE was carried out for a geometry-optimized Sr2Ga4IrPd structure.

```
Sr2Ga4IrPd
1.0
7.477 0.000 0.000
0.000 2.101 5.620
0.000 -2.101 5.620
Sr Ga Ir Pd
2 4 1 1
direct
0.000 0.000 0.000
0.500 0.107 0.107
0.189 0.725 0.725
0.303 0.384 0.384
0.697 0.384 0.384
0.811 0.725 0.725
0.000 0.273 0.273
0.500 0.834 0.834
```

Properties
Crystal system: orthorhombic
Space-group type: Amm2 (38)

=====

Entry 3:
A plane-wave DFT calculation with PBE was carried out for a geometry-optimized SrGa2IrPd structure.

```
SrGa2IrPd
1.0
4.429 0.000 0.000
0.000 4.429 0.000
0.000 0.000 10.169
Sr Ga Ir Pd
2 4 2 2
direct
0.250 0.250 0.249
0.750 0.750 0.751
0.250 0.250 0.872
0.250 0.750 0.500
0.750 0.250 0.500
0.750 0.750 0.128
0.250 0.250 0.626
0.750 0.750 0.374
0.250 0.750 0.000
0.750 0.250 0.000
```

Properties
Crystal system: tetragonal
E above lowest polymorph (meV/atom): 0
Space-group type: P4/nmm (129)

=====

Entry 4:
A plane-wave DFT calculation with PBE was carried out for a geometry-optimized Tb2Ga4IrPd structure.

```
Tb2Ga4IrPd
1.0
6.631 0.000 0.000
0.000 2.204 5.081
0.000 -2.204 5.081
Tb Ga Ir Pd
2 4 1 1
direct
0.000 0.000 0.000
0.500 0.175 0.175
0.196 0.719 0.719
0.305 0.458 0.458
0.695 0.458 0.458
0.804 0.719 0.719
0.500 0.887 0.887
0.000 0.288 0.288
```

Properties
Crystal system: orthorhombic
Space-group type: Amm2 (38)

=====

Number 1: total magnetization 0.00 μB/f.u., density 8.72 g/cm³, VASP energy -4.99 eV/atom. Number 2: total magnetization 0.00 μB/f.u., density 7.08 g/cm³, VASP energy -4.28 eV/atom. Number 3: total magnetization 0.00 μB/f.u., density 8.75 g/cm³, VASP energy -5.01 eV/atom. Number 4: total magnetization 0.01 μB/f.u., density 10.01 g/cm³, VASP energy -5.20 eV/atom.